Pm2Ag2PbO6 after structural relaxation, computed with PBE.

* E_form (uncorrected): -1.737 eV per atom
* SG: C2/m

a = 6.2961 Å, b = 6.2961 Å, c = 6.5267 Å
α = 96.45°, β = 96.45°, γ = 121.04°
Last column: nearest neighbours and their distance in Å.
Fractional coordinates of all 11 atoms:
Pm 0.1635 0.8365 0.0000  6 O 2.35-2.41
Pm 0.8365 0.1635 0.0000  6 O 2.35-2.41
Ag 0.3369 0.6631 0.5000  2 O 2.08
Ag 0.6631 0.3369 0.5000  2 O 2.08
Pb 0.5000 0.5000 0.0000  6 O 2.13-2.32
O 0.1561 0.1561 0.8514  1 Pb 2.13, 2 Pm 2.35
O 0.2228 0.5504 0.1740  1 Ag 2.08, 1 Pb 2.32
O 0.4496 0.7772 0.8260  1 Ag 2.08, 1 Pb 2.32
O 0.5504 0.2228 0.1740  1 Ag 2.08, 1 Pb 2.32
O 0.7772 0.4496 0.8260  1 Ag 2.08, 1 Pb 2.32
O 0.8439 0.8439 0.1485  1 Pb 2.13, 2 Pm 2.35

TaFe2Se after structural relaxation, computed with PBE.

* E_form (uncorrected): 0.149 eV per atom
* SG: Immm

a = 5.0393 Å, b = 5.0393 Å, c = 5.0393 Å
α = 144.34°, β = 130.11°, γ = 62.82°
Last column: nearest neighbours and their distance in Å.
Fractional coordinates of all 4 atoms:
Ta 0.0000 0.0000 0.0000  4 Se 2.63, 8 Fe 2.75-2.93
Fe 0.2647 0.7647 0.5000  2 Se 2.54, 4 Fe 2.64, 2 Ta 2.75
Fe 0.7353 0.2353 0.5000  2 Se 2.54, 4 Fe 2.64, 2 Ta 2.75
Se 0.5000 0.5000 0.0000  4 Fe 2.54, 4 Ta 2.63

HfScIn after structural relaxation, computed with PBE.

* SG: I4/mmm

a = 8.4425 Å, b = 8.4425 Å, c = 8.4425 Å
α = 150.87°, β = 150.87°, γ = 41.67°
Last column: nearest neighbours and their distance in Å.
Fractional coordinates of all 6 atoms:
Hf 0.0000 0.5000 0.5000  4 Hf 3.00, 4 In 3.06
Hf 0.5000 0.0000 0.5000  4 Hf 3.00, 4 In 3.06
Sc 0.1684 0.1684 0.0000  5 In 3.03-3.04
Sc 0.8316 0.8316 0.0000  5 In 3.03-3.04
In 0.3602 0.3602 0.0000  5 Sc 3.03-3.04, 4 Hf 3.06
In 0.6398 0.6398 0.0000  5 Sc 3.03-3.04, 4 Hf 3.06

TiNiPt after structural relaxation, computed with PBE.

* SG: P2/m

a = 3.5966 Å, b = 3.5158 Å, c = 3.8285 Å
α = 90.00°, β = 90.17°, γ = 90.00°
Last column: nearest neighbours and their distance in Å.
Fractional coordinates of all 3 atoms:
Ti 0.0000 0.0000 0.0000  4 Ni 2.51, 4 Pt 2.62-2.63
Ni 0.5000 0.5000 0.0000  4 Ti 2.51, 4 Pt 2.60
Pt 0.5000 0.0000 0.5000  4 Ni 2.60, 4 Ti 2.62-2.63

KTiPdRu2 after structural relaxation, computed with PBE.

* SG: P4/mmm

a = 4.5545 Å, b = 4.5545 Å, c = 4.7301 Å
α = 90.00°, β = 90.00°, γ = 90.00°
Last column: nearest neighbours and their distance in Å.
Fractional coordinates of all 5 atoms:
K 0.0000 0.0000 0.0000  4 Ru 2.28, 2 Pd 2.37
Ti 0.5000 0.5000 0.5000  4 Pd 3.22, 8 Ru 3.28
Pd 0.0000 0.0000 0.5000  2 K 2.37
Ru 0.0000 0.5000 0.0000  2 K 2.28
Ru 0.5000 0.0000 0.0000  2 K 2.28

CaPBr3 after structural relaxation, computed with PBE.

* E_form (uncorrected): -0.420 eV per atom
* SG: Pm-3m

a = 5.6583 Å, b = 5.6583 Å, c = 5.6583 Å
α = 90.00°, β = 90.00°, γ = 90.00°
Last column: nearest neighbours and their distance in Å.
Fractional coordinates of all 5 atoms:
Ca 0.0000 0.0000 0.0000  6 Br 2.83
P 0.5000 0.5000 0.5000  12 Br 4.00
Br 0.0000 0.0000 0.5000  2 Ca 2.83
Br 0.0000 0.5000 0.0000  2 Ca 2.83
Br 0.5000 0.0000 0.0000  2 Ca 2.83

SmIn3Pt after structural relaxation, computed with PBE.

* SG: Pnma

a = 9.0433 Å, b = 4.4564 Å, c = 11.8359 Å
α = 90.00°, β = 90.00°, γ = 90.00°
Last column: nearest neighbours and their distance in Å.
Fractional coordinates of all 20 atoms:
Sm 0.1975 0.2500 0.0066  8 In 3.25-3.50, 2 Pt 3.36
Sm 0.3025 0.7500 0.5066  8 In 3.25-3.50, 2 Pt 3.36
Sm 0.6975 0.2500 0.4934  8 In 3.25-3.50, 2 Pt 3.36
Sm 0.8025 0.7500 0.9934  8 In 3.25-3.50, 2 Pt 3.36
In 0.0641 0.2500 0.5881  3 Pt 2.77-2.79, 2 In 2.99-3.05
In 0.0981 0.7500 0.8159  2 Pt 2.72-2.75
In 0.1461 0.7500 0.2102  2 Pt 2.85, 4 In 2.99-3.15
In 0.3539 0.2500 0.7102  2 Pt 2.85, 4 In 2.99-3.15
In 0.4019 0.2500 0.3159  2 Pt 2.72-2.75
In 0.4359 0.7500 0.0881  3 Pt 2.77-2.79, 2 In 2.99-3.05
In 0.5641 0.2500 0.9119  3 Pt 2.77-2.79, 2 In 2.99-3.05
In 0.5981 0.7500 0.6841  2 Pt 2.72-2.75
In 0.6461 0.7500 0.2898  2 Pt 2.85, 4 In 2.99-3.15
In 0.8539 0.2500 0.7898  2 Pt 2.85, 4 In 2.99-3.15
In 0.9019 0.2500 0.1841  2 Pt 2.72-2.75
In 0.9359 0.7500 0.4119  3 Pt 2.77-2.79, 2 In 2.99-3.05
Pt 0.1061 0.2500 0.3567  7 In 2.72-2.85
Pt 0.3939 0.7500 0.8567  7 In 2.72-2.85
Pt 0.6061 0.2500 0.1433  7 In 2.72-2.85
Pt 0.8939 0.7500 0.6433  7 In 2.72-2.85

LaSb2Pb2 after structural relaxation, computed with PBE.

* E_form (uncorrected): -0.223 eV per atom
* SG: P4/mbm

a = 8.6430 Å, b = 8.6430 Å, c = 4.1873 Å
α = 90.00°, β = 90.00°, γ = 90.00°
Last column: nearest neighbours and their distance in Å.
Fractional coordinates of all 10 atoms:
La 0.0000 0.0000 0.0000  4 Pb 3.39, 8 Sb 3.79
La 0.5000 0.5000 0.0000  4 Pb 3.39, 8 Sb 3.79
Sb 0.1833 0.3167 0.5000  6 Pb 3.10-3.45
Sb 0.3167 0.8167 0.5000  6 Pb 3.10-3.45
Sb 0.6833 0.1833 0.5000  6 Pb 3.10-3.45
Sb 0.8167 0.6833 0.5000  6 Pb 3.10-3.45
Pb 0.1296 0.6296 0.0000  6 Sb 3.10-3.45, 1 Pb 3.17, 2 La 3.39
Pb 0.3704 0.1296 0.0000  6 Sb 3.10-3.45, 1 Pb 3.17, 2 La 3.39
Pb 0.6296 0.8704 0.0000  6 Sb 3.10-3.45, 1 Pb 3.17, 2 La 3.39
Pb 0.8704 0.3704 0.0000  6 Sb 3.10-3.45, 1 Pb 3.17, 2 La 3.39

What did we get for size of the total moment? Answer: 0.000, 3.316, 0.000, 0.000, 0.000, 2.000, 0.000, 0.000 Bohr magnetons per cell, in the order shown.
What did we get for energy? Answer: -67.77, -31.67, -39.14, -20.55, -21.27, -14.53, -87.23, -43.41 eV per cell, in the order shown.